1.
DFT (GGA-PBE) results for a relaxed structure of Er2SeN. Values from VASP.

Quantum ESPRESSO input file:
```
&SYSTEM
  ibrav = 0, nat = 4, ntyp = 3
/
ATOMIC_SPECIES
Er 167.26 Er.upf
Se 78.96 Se.upf
N 14.01 N.upf
CELL_PARAMETERS angstrom
3.629 0.000 0.000
1.814 3.143 0.000
1.814 1.048 6.440
ATOMIC_POSITIONS crystal
Er 0.267 0.267 0.198
Er 0.733 0.733 0.802
Se 0.500 0.500 0.500
N 0.000 0.000 0.000
```

Values from the calculation:
* final energy: -6.95 eV per atom
* D(E_F): 1.02 states/eV/cell
* polymorph energy (0 for the lowest one): 0.02 eV per formula unit
* symmetry: R-3m


2.
DFT (GGA-PBE) results for a relaxed structure of TaCu2P. Values from VASP.

Quantum ESPRESSO input file:
```
&SYSTEM
  ibrav = 0, nat = 4, ntyp = 3
/
ATOMIC_SPECIES
Ta 180.95 Ta.upf
P 30.97 P.upf
Cu 63.55 Cu.upf
CELL_PARAMETERS angstrom
3.224 0.030 0.000
-0.030 3.224 0.000
0.000 0.000 5.449
ATOMIC_POSITIONS crystal
Ta 0.500 0.500 0.724
P 0.000 0.000 0.517
Cu 0.000 0.000 0.038
Cu 0.500 0.500 0.221
```

Values from the calculation:
* final energy: -6.45 eV per atom
* D(E_F): 2.31 states/eV/cell
* symmetry: P4mm


3.
DFT (GGA-PBE) results for a relaxed structure of K3GaSb. Values from VASP.

Quantum ESPRESSO input file:
```
&SYSTEM
  ibrav = 0, nat = 5, ntyp = 3
/
ATOMIC_SPECIES
K 39.10 K.upf
Ga 69.72 Ga.upf
Sb 121.76 Sb.upf
CELL_PARAMETERS angstrom
6.285 0.000 0.000
0.000 6.285 0.000
0.000 0.000 6.285
ATOMIC_POSITIONS crystal
K 0.000 0.000 0.500
K 0.500 0.000 0.000
K 0.000 0.500 0.000
Ga 0.000 0.000 0.000
Sb 0.500 0.500 0.500
```

Values from the calculation:
* final energy: -1.77 eV per atom
* D(E_F): 6.60 states/eV/cell
* polymorph energy (0 for the lowest one): 2.36 eV per formula unit
* symmetry: Pm-3m


4.
DFT (GGA-PBE) results for a relaxed structure of GdThCdAg. Values from VASP.

Quantum ESPRESSO input file:
```
&SYSTEM
  ibrav = 0, nat = 4, ntyp = 4
/
ATOMIC_SPECIES
Th 232.04 Th.upf
Cd 112.41 Cd.upf
Gd 157.25 Gd.upf
Ag 107.87 Ag.upf
CELL_PARAMETERS angstrom
-3.760 1.901 -3.258
-2.588 -3.295 -3.289
-5.123 -1.161 0.881
ATOMIC_POSITIONS crystal
Th 0.750 0.750 0.750
Cd 0.500 0.500 0.500
Gd 0.250 0.250 0.250
Ag 0.000 0.000 0.000
```

Values from the calculation:
* final energy: -6.47 eV per atom
* D(E_F): 4.03 states/eV/cell
* symmetry: F-43m